Entry 1:
! Fe2ReSb | the Alexandria database | PBE | optimized geometry; values from VASP
! Total moment ... 4.86 Bohr magnetons per cell
! Uncorrected formation energy ... 0.34 eV per atom
! Fermi-level density of states ... 0.94 states/eV per atom
&SYSTEM
  ibrav = 0, nat = 4, ntyp = 3
/
ATOMIC_SPECIES
Fe 55.84 Fe.upf
Re 186.21 Re.upf
Sb 121.76 Sb.upf
CELL_PARAMETERS angstrom
-1.648 2.097 4.207
1.648 -2.097 4.207
1.648 2.097 -4.207
ATOMIC_POSITIONS angstrom
Fe 0.000 0.000 0.000
Fe 0.000 2.097 2.305
Re 1.648 0.000 2.154
Sb 0.000 0.000 4.380

***

Entry 2:
! Fe2ReSb | the Alexandria database | PBE | optimized geometry; values from VASP
! Total moment ... 3.83 Bohr magnetons per cell
! Uncorrected formation energy ... 0.48 eV per atom
! Fermi-level density of states ... 1.25 states/eV per atom
&SYSTEM
  ibrav = 0, nat = 4, ntyp = 3
/
ATOMIC_SPECIES
Fe 55.84 Fe.upf
Re 186.21 Re.upf
Sb 121.76 Sb.upf
CELL_PARAMETERS angstrom
1.457 0.841 8.243
-1.457 0.841 8.243
0.000 -1.683 8.243
ATOMIC_POSITIONS angstrom
Fe 0.000 0.000 6.085
Fe 0.000 0.000 18.644
Re 0.000 0.000 12.364
Sb 0.000 0.000 0.000

***

Entry 3:
! FeRe2Sb | the Alexandria database | PBE | optimized geometry; values from VASP
! Total moment ... 2.10 Bohr magnetons per cell
! Uncorrected formation energy ... 0.55 eV per atom
! Fermi-level density of states ... 0.94 states/eV per atom
&SYSTEM
  ibrav = 0, nat = 4, ntyp = 3
/
ATOMIC_SPECIES
Fe 55.84 Fe.upf
Re 186.21 Re.upf
Sb 121.76 Sb.upf
CELL_PARAMETERS angstrom
3.140 0.000 0.000
0.000 4.363 0.000
0.000 0.000 4.549
ATOMIC_POSITIONS angstrom
Fe 0.000 0.000 0.000
Re 0.000 2.182 2.274
Re 1.570 0.000 2.274
Sb 1.570 2.182 0.000

***

Entry 4:
! FeReSb2 | the Alexandria database | PBE | optimized geometry; values from VASP
! Total moment ... 2.67 Bohr magnetons per cell
! Uncorrected formation energy ... 0.35 eV per atom
! Fermi-level density of states ... 0.83 states/eV per atom
&SYSTEM
  ibrav = 0, nat = 4, ntyp = 3
/
ATOMIC_SPECIES
Fe 55.84 Fe.upf
Re 186.21 Re.upf
Sb 121.76 Sb.upf
CELL_PARAMETERS angstrom
4.438 0.000 0.000
0.000 1.710 4.888
0.000 -1.710 4.888
ATOMIC_POSITIONS angstrom
Fe 0.000 0.000 0.000
Re 2.219 0.000 8.368
Sb 0.000 0.000 2.736
Sb 2.219 0.000 5.606

***

Entry 5:
! FeReSb | the Alexandria database | PBE | optimized geometry; values from VASP
! Total moment ... 1.69 Bohr magnetons per cell
! Uncorrected formation energy ... 0.55 eV per atom
! Fermi-level density of states ... 1.09 states/eV per atom
&SYSTEM
  ibrav = 0, nat = 3, ntyp = 3
/
ATOMIC_SPECIES
Fe 55.84 Fe.upf
Re 186.21 Re.upf
Sb 121.76 Sb.upf
CELL_PARAMETERS angstrom
2.997 0.000 0.000
-1.498 2.595 0.000
0.000 0.000 6.286
ATOMIC_POSITIONS angstrom
Fe 0.000 0.000 0.000
Re 1.498 0.865 1.841
Sb 0.000 1.730 4.146

***

Entry 6:
! FeRe2Sb | the Alexandria database | PBE | optimized geometry; values from VASP
! Total moment ... 2.16 Bohr magnetons per cell
! Uncorrected formation energy ... 0.37 eV per atom
! Fermi-level density of states ... 1.12 states/eV per atom
&SYSTEM
  ibrav = 0, nat = 4, ntyp = 3
/
ATOMIC_SPECIES
Fe 55.84 Fe.upf
Re 186.21 Re.upf
Sb 121.76 Sb.upf
CELL_PARAMETERS angstrom
3.079 0.000 0.000
0.000 3.079 0.000
0.000 0.000 6.619
ATOMIC_POSITIONS angstrom
Fe 0.000 0.000 0.000
Re 0.000 0.000 3.053
Re 1.539 1.539 1.510
Sb 1.539 1.539 5.005